(1)
# PaSe2F2

An optimized crystal structure of PaSe2F2 (GGA-PBE, Alexandria via LeMat-Bulk).

For the density of states at the Fermi level, the calculation gives 7.6 states/eV/cell. The calculation puts the uncorrected formation energy at -2.297 eV per atom. The total magnetization comes out at 2.10 μB per cell.

Unit cell a=6.2282 b=12.1324 c=6.6838 alpha=90.00 beta=112.98 gamma=90.00
With the nearest neighbours (Å) after each atom.
Space group C2/m (No. 12)
Unique sites:
Pa  0.0000  0.1514  0.0000 x4  4 F 2.27-2.39
Se  0.1101  0.5000  0.8606 x4  2 Se 2.64-2.71, 2 Pa 2.89
Se  0.1236  0.0000  0.3645 x4  2 Se 2.64-2.80, 2 Pa 2.90
F  0.2185  0.2262  0.8074 x8  2 Pa 2.27-2.39, 1 F 2.52

(2)
# Ba2LiTl6Zn

An optimized crystal structure of Ba2LiTl6Zn (GGA-PBE, Alexandria via LeMat-Bulk).

For the calculated formation energy, the calculation gives -0.189 eV per atom. For the density of states at the Fermi level, the calculation gives 4.9 states/eV/cell. The total magnetization comes out at 0.00 μB per cell.

Unit cell a=7.5332 b=7.5438 c=7.7054 alpha=61.43 beta=61.41 gamma=60.58
With the nearest neighbours (Å) after each atom.
Space group P-1 (No. 2)
Unique sites:
Ba  0.2254  0.2216  0.3351 x2  12 Tl 3.81-3.99, 1 Li 4.27
Li  0.0000  0.0000  0.0000 x1  6 Tl 2.69-2.70
Tl  0.2343  0.2591  0.8066 x2  1 Li 2.69, 1 Zn 2.80
Tl  0.2418  0.7037  0.8032 x2  1 Li 2.69, 1 Zn 2.78
Tl  0.3112  0.7579  0.1823 x2  1 Li 2.70, 1 Zn 2.80
Zn  0.5000  0.5000  0.5000 x1  6 Tl 2.78-2.80

(3)
# ReAs3O

An optimized crystal structure of ReAs3O (GGA-PBE, Alexandria via LeMat-Bulk).

The excess energy over the best structure of this formula in the dataset is 19.21 kJ/mol of atoms. For the density of states at the Fermi level, the calculation gives 4.3 states/eV/cell. The calculation puts the uncorrected formation energy at 0.831 eV per atom. The total magnetization comes out at 0.00 μB per cell.

Unit cell a=4.7551 b=4.7551 c=4.7551 alpha=90.00 beta=90.00 gamma=90.00
With the nearest neighbours (Å) after each atom.
Space group Pm-3m (No. 221)
Unique sites:
Re  0.0000  0.0000  0.0000 x1  6 As 2.38
As  0.0000  0.0000  0.5000 x3  2 Re 2.38
O  0.5000  0.5000  0.5000 x1  12 As 3.36

(4)
# OsPt2Br

An optimized crystal structure of OsPt2Br (GGA-PBE, Alexandria via LeMat-Bulk).

The excess energy over the best structure of this formula in the dataset is 36.27 kJ/mol of atoms. For the density of states at the Fermi level, the calculation gives 11.6 states/eV/cell. The calculation puts the uncorrected formation energy at 0.818 eV per atom. The total magnetization comes out at 0.00 μB per cell.

Unit cell a=2.8245 b=4.6678 c=10.3530 alpha=90.00 beta=90.00 gamma=90.00
With the nearest neighbours (Å) after each atom.
Space group Immm (No. 71)
Unique sites:
Os  0.0000  0.0000  0.0000 x2  4 Pt 2.73, 4 Br 2.73, 2 Os 2.82
Pt  0.0000  0.5000  0.2747 x4  2 Os 2.73, 6 Pt 2.78-2.82
Br  0.0000  0.0000  0.5000 x2  4 Os 2.73, 2 Br 2.82

(5)
# NaLi2SbF6

An optimized crystal structure of NaLi2SbF6 (GGA-PBE, Alexandria via LeMat-Bulk).

For the density of states at the Fermi level, the calculation gives 0.0 states/eV/cell. The calculation puts the uncorrected formation energy at -2.676 eV per atom. The total magnetization comes out at 0.00 μB per cell.

Unit cell a=5.5630 b=5.5630 c=13.9231 alpha=90.00 beta=90.00 gamma=120.00
With the nearest neighbours (Å) after each atom.
Space group R3 (No. 146, hexagonal axes)
Unique sites:
Na  0.0000  0.0000  0.0000 x3  6 F 2.36-2.41
Li  0.0000  0.0000  0.2694 x3  3 F 1.94
Li  0.0000  0.0000  0.7900 x3  6 F 2.04-2.10
Sb  0.0000  0.0000  0.4943 x3  6 F 2.11-2.31
F  0.0080  0.4019  0.5413 x9  2 Li 1.94-2.04
F  0.0389  0.6212  0.0560 x9  2 Li 2.10-2.26, 1 Sb 2.11

(6)
# SmDyFeC

An optimized crystal structure of SmDyFeC (GGA-PBE, Alexandria via LeMat-Bulk).

For the calculated formation energy, the calculation gives 0.425 eV per atom. For the density of states at the Fermi level, the calculation gives 7.0 states/eV/cell. The total magnetization comes out at 0.00 μB per cell.

Unit cell a=3.7341 b=3.7341 c=11.0926 alpha=90.00 beta=90.00 gamma=90.00
With the nearest neighbours (Å) after each atom.
Space group P4/nmm (No. 129, origin choice 2)
Unique sites:
Sm  0.2500  0.2500  0.2027 x2  4 Fe 2.92, 5 C 3.02-3.03
Dy  0.2500  0.7500  0.5000 x2  4 Dy 2.64
Fe  0.2500  0.7500  0.0000 x2  4 C 2.02
C  0.2500  0.2500  0.9296 x2  4 Fe 2.02

(7)
# RbBi

An optimized crystal structure of RbBi (GGA-PBE, Alexandria via LeMat-Bulk).

The excess energy over the best structure of this formula in the dataset is 25.58 kJ/mol of atoms. For the calculated formation energy, the calculation gives -0.089 eV per atom. For the density of states at the Fermi level, the calculation gives 10.3 states/eV/cell. The total magnetization comes out at 2.83 μB per cell.

Unit cell a=7.7249 b=7.7249 c=7.5008 alpha=90.00 beta=90.00 gamma=90.00
With the nearest neighbours (Å) after each atom.
Space group P4_2/mnm (No. 136)
Unique sites:
Rb  0.1823  0.1823  0.0000 x4  4 Bi 3.76-3.79, 1 Rb 3.98
Bi  0.1325  0.1325  0.5000 x4  1 Bi 2.90

(8)
# Tl3AgAu2Br6

An optimized crystal structure of Tl3AgAu2Br6 (GGA-PBE, Alexandria via LeMat-Bulk).

The calculation puts the uncorrected formation energy at -0.386 eV per atom. The total magnetization comes out at 0.00 μB per cell.

Unit cell a=8.2581 b=8.2581 c=8.5424 alpha=90.00 beta=90.00 gamma=120.00
With the nearest neighbours (Å) after each atom.
Space group P-3m1 (No. 164)
Unique sites:
Tl  0.0000  0.0000  0.0000 x1  6 Br 3.29
Tl  0.3333  0.6667  0.6446 x2  1 Au 2.93
Ag  0.0000  0.0000  0.5000 x1  6 Br 2.86
Au  0.3333  0.6667  0.3020 x2  3 Br 2.57
Br  0.1538  0.3077  0.2867 x6  1 Au 2.57, 1 Ag 2.86